No. 1
Here is an optimized crystal structure of NdEuNi2 from Alexandria via LeMat-Bulk. Energies are from PBE.

extended XYZ file:
```
4
Lattice="3.502 0.000 0.000 0.000 3.502 0.000 0.000 0.000 6.999" Properties=species:S:1:pos:R:3 pbc="T T T"
Eu 1.751 1.751 3.500
Ni 0.000 0.000 5.418
Ni 0.000 0.000 1.581
Nd 1.751 1.751 0.000
```

Output
- Energy: -6.8071 eV per atom
- Formation energy from the elements: -0.156 eV/atom
- Distance to the lowest polymorph of the same formula: 0 meV/atom
- Space-group type: No. 123
- Crystal system: tetragonal


No. 2
Here is an optimized crystal structure of Sc2Cd2Sb from Alexandria via LeMat-Bulk. Energies are from PBE.

extended XYZ file:
```
5
Lattice="3.921 0.000 0.000 0.000 3.921 0.000 1.961 1.961 8.149" Properties=species:S:1:pos:R:3 pbc="T T T"
Sc 1.961 1.961 1.471
Sc 3.921 3.921 6.678
Sb 0.000 0.000 0.000
Cd 3.921 1.961 4.074
Cd 1.961 3.921 4.074
```

Output
- Energy: -3.9162 eV per atom
- Distance to the lowest polymorph of the same formula: 69 meV/atom
- Space-group type: No. 139
- Crystal system: tetragonal
- Formation energy (no corrections): -18.6 kJ/mol of atoms


No. 3
Here is an optimized crystal structure of ZrTlHg2 from Alexandria via LeMat-Bulk. Energies are from PBE.

extended XYZ file:
```
4
Lattice="3.278 0.000 0.000 0.000 4.420 0.000 0.000 0.000 6.545" Properties=species:S:1:pos:R:3 pbc="T T T"
Hg 0.000 0.000 6.480
Hg 1.639 2.210 1.577
Tl 0.000 0.000 3.359
Zr 1.639 2.210 4.946
```

Output
- Energy: -2.7873 eV per atom
- Formation energy from the elements: 0.092 eV/atom
- Space-group type: No. 25
- Crystal system: orthorhombic


No. 4
Here is an optimized crystal structure of K2Na2C from Alexandria via LeMat-Bulk. Energies are from PBE.

extended XYZ file:
```
10
Lattice="-2.967 6.759 2.091 -4.247 -3.515 5.336 5.021 0.804 4.526" Properties=species:S:1:pos:R:3 pbc="T T T"
Na -0.888 -0.782 6.243
Na -2.994 2.082 8.071
Na -1.306 4.831 5.710
Na 0.801 1.966 3.882
K -4.463 -0.706 5.076
K -5.316 3.196 5.329
K -2.752 3.950 2.351
K -1.899 0.048 2.098
C 0.000 0.000 0.000
C -3.607 1.622 3.714
```

Output
- Energy: -1.7025 eV per atom
- Formation energy from the elements: 1.109 eV/atom
- Distance to the lowest polymorph of the same formula: 73 meV/atom
- Space-group type: No. 127
- Crystal system: tetragonal


No. 5
Here is an optimized crystal structure of Te2MoCl from Alexandria via LeMat-Bulk. Energies are from PBE.

extended XYZ file:
```
4
Lattice="4.951 0.000 0.000 2.475 4.288 0.000 2.475 1.429 4.042" Properties=species:S:1:pos:R:3 pbc="T T T"
Cl 4.951 2.858 2.021
Mo 7.426 4.288 3.032
Te 0.000 0.000 0.000
Te 2.475 1.429 1.011
```

Output
- Energy: -4.0925 eV per atom
- Distance to the lowest polymorph of the same formula: 813 meV/atom
- Space-group type: No. 216
- Crystal system: cubic
- Formation energy (no corrections): 62.5 kJ/mol of atoms


No. 6
Here is an optimized crystal structure of Th2Ga4Cu3Au from Alexandria via LeMat-Bulk. Energies are from PBE.

extended XYZ file:
```
10
Lattice="4.296 0.000 0.000 0.000 4.296 0.000 0.000 0.000 10.105" Properties=species:S:1:pos:R:3 pbc="T T T"
Th 2.148 0.000 2.480
Th 0.000 2.148 7.626
Ga 2.148 2.148 0.000
Ga 0.000 0.000 0.000
Ga 2.148 0.000 6.485
Ga 0.000 2.148 3.621
Cu 0.000 0.000 5.053
Cu 2.148 0.000 8.872
Cu 0.000 2.148 1.234
Au 2.148 2.148 5.053
```

Output
- Energy: -4.7256 eV per atom
- Formation energy from the elements: -0.474 eV/atom
- Space-group type: No. 115
- Crystal system: tetragonal


No. 7
Here is an optimized crystal structure of Pr3YRh8 from Alexandria via LeMat-Bulk. Energies are from PBE.

extended XYZ file:
```
12
Lattice="-2.705 -4.649 0.617 2.451 -4.283 2.228 -2.774 -0.349 8.960" Properties=species:S:1:pos:R:3 pbc="T T T"
Pr -2.522 -3.656 8.904
Pr -0.257 -8.930 2.854
Pr -1.511 -4.645 5.892
Y -1.266 -7.944 5.858
Rh -1.990 -6.290 3.256
Rh -0.789 -6.299 8.496
Rh -0.639 -3.968 2.947
Rh -2.138 -8.618 8.803
Rh -1.260 -1.829 4.449
Rh -2.776 -6.468 10.357
Rh 0.585 -6.107 4.060
Rh -3.360 -6.482 7.692
```

Output
- Energy: -7.2902 eV per atom
- Formation energy from the elements: -0.656 eV/atom
- Space-group type: No. 160
- Crystal system: trigonal


No. 8
Here is an optimized crystal structure of Ce5Bi2S12 from Alexandria via LeMat-Bulk. Energies are from PBE.

extended XYZ file:
```
19
Lattice="-6.205 0.451 -4.932 7.170 -3.052 -2.910 -4.345 -6.972 4.830" Properties=species:S:1:pos:R:3 pbc="T T T"
Ce -0.231 -5.891 -0.247
Ce 2.003 -1.795 -2.684
Ce -2.173 -3.486 2.415
Ce -5.383 -7.778 -0.328
Ce -3.148 -3.683 -2.765
Bi -4.668 0.339 -3.711
Bi -1.536 0.112 -1.221
S -0.359 -3.346 -6.244
S 0.190 -7.699 1.962
S -2.631 -7.494 -0.280
S 2.506 -5.643 -0.140
S -0.920 -5.394 -2.864
S -6.446 -5.604 1.208
S 3.066 -3.969 -4.220
S -5.886 -3.930 -2.872
S -2.460 -4.179 -0.149
S -3.570 -1.875 -4.974
S -0.749 -2.080 -2.732
S -3.021 -6.228 3.231
```

Output
- Energy: -5.9722 eV per atom
- Space-group type: No. 12
- Crystal system: monoclinic
- Formation energy (no corrections): -134.6 kJ/mol of atoms


No. 9
Here is an optimized crystal structure of AcTb2Dy from Alexandria via LeMat-Bulk. Energies are from PBE.

extended XYZ file:
```
4
Lattice="-0.945 -3.090 1.774 2.120 -3.003 -0.271 6.599 1.498 9.952" Properties=species:S:1:pos:R:3 pbc="T T T"
Ac 3.881 -2.301 5.718
Tb 5.122 0.658 7.703
Tb 1.870 -1.190 2.752
Dy 0.788 -4.059 1.009
```

Output
- Energy: -4.4318 eV per atom
- Formation energy from the elements: 0.061 eV/atom
- Distance to the lowest polymorph of the same formula: 8 meV/atom
- Space-group type: No. 160
- Crystal system: trigonal


No. 10
Here is an optimized crystal structure of Hg3SbC from Alexandria via LeMat-Bulk. Energies are from PBE.

extended XYZ file:
```
5
Lattice="4.809 0.000 0.000 0.000 4.809 0.000 0.000 0.000 4.809" Properties=species:S:1:pos:R:3 pbc="T T T"
Sb 2.404 2.404 2.404
C 0.000 0.000 0.000
Hg 0.000 2.404 0.000
Hg 0.000 0.000 2.404
Hg 2.404 0.000 0.000
```

Output
- Energy: -1.7786 eV per atom
- Distance to the lowest polymorph of the same formula: 0 meV/atom
- Space-group type: No. 221
- Crystal system: cubic
- Formation energy (no corrections): 103.4 kJ/mol of atoms


No. 11
Here is an optimized crystal structure of K3CdCu2F9 from Alexandria via LeMat-Bulk. Energies are from PBE.

extended XYZ file:
```
15
Lattice="-5.728 1.522 -0.178 2.455 -2.848 -4.585 -1.797 -6.409 3.020" Properties=species:S:1:pos:R:3 pbc="T T T"
K -1.484 -5.710 -1.081
K 0.000 0.000 0.000
K -3.587 -2.026 -0.662
Cd -0.898 -3.205 1.510
Cu -0.550 -2.381 -2.650
Cu -4.520 -5.355 0.907
F -5.531 -3.606 1.114
F -4.356 -4.970 -1.081
F -2.789 -4.334 1.200
F -2.282 -3.401 -2.943
F -0.714 -2.766 -0.662
F 0.461 -4.130 -2.857
F -2.864 0.761 -0.089
F 1.227 -1.424 -2.292
F -1.637 -0.663 -2.381
```

Output
- Energy: -4.1537 eV per atom
- Space-group type: No. 164
- Crystal system: trigonal
- Formation energy (no corrections): -212.7 kJ/mol of atoms


No. 12
Here is an optimized crystal structure of CaMnCr2 from Alexandria via LeMat-Bulk. Energies are from PBE.

extended XYZ file:
```
4
Lattice="3.762 0.000 0.000 0.000 2.879 -0.013 0.000 1.582 6.224" Properties=species:S:1:pos:R:3 pbc="T T T"
Cr 0.000 0.175 0.562
Cr 1.881 1.120 1.564
Ca 1.881 3.350 4.634
Mn 0.000 2.047 2.557
```

Output
- Energy: -7.0090 eV per atom
- Formation energy from the elements: 0.595 eV/atom
- Distance to the lowest polymorph of the same formula: 156 meV/atom
- Space-group type: No. 6
- Crystal system: monoclinic


Result set for size of the total moment: 7.05 1.00 0.00 1.20 0.00 0.00 0.00 2.19 0.00 0.00 2.04 1.68 μB/cell, one per record in the order listed.